Record 1
! LaTaHg2, relaxed, DFT PBEsol; values from VASP
&SYSTEM
  ibrav = 0, nat = 4, ntyp = 3
/
ATOMIC_SPECIES
Hg 200.59 Hg.upf
La 138.91 La.upf
Ta 180.95 Ta.upf
ATOMIC_POSITIONS angstrom
Hg 2.5422 1.4677 1.0378
Hg 7.6265 4.4032 3.1135
La 0.0000 0.0000 0.0000
Ta 5.0843 2.9354 2.0757
CELL_PARAMETERS angstrom
5.0843 0.0000 0.0000
2.5422 4.4032 0.0000
2.5422 1.4677 4.1513
! formation energy from the elements: 5.1 kcal/mol of atoms
! symmetry: Fm-3m (225)
! E above lowest polymorph: 221 meV/atom
! volume: 93 Å³/cell
! crystal system: cubic



Record 2
! LaTc2Hg, relaxed, DFT PBEsol; values from VASP
&SYSTEM
  ibrav = 0, nat = 4, ntyp = 3
/
ATOMIC_SPECIES
Hg 200.59 Hg.upf
La 138.91 La.upf
Tc 98.00 Tc.upf
ATOMIC_POSITIONS angstrom
Hg -0.8866 -0.9537 0.6991
La 1.7060 0.1316 2.0897
Tc -1.6269 2.1890 -0.5127
Tc -0.8076 1.3670 2.2761
CELL_PARAMETERS angstrom
-1.7733 -1.9074 1.3982
3.4119 0.2633 4.1795
-3.2538 4.3781 -1.0254
! formation energy from the elements: 13.0 kcal/mol of atoms
! symmetry: C2/m (12)
! volume: 74 Å³/cell
! crystal system: monoclinic



Record 3
! LaTcHg3, relaxed, DFT PBEsol; values from VASP
&SYSTEM
  ibrav = 0, nat = 5, ntyp = 3
/
ATOMIC_SPECIES
Tc 98.00 Tc.upf
Hg 200.59 Hg.upf
La 138.91 La.upf
ATOMIC_POSITIONS angstrom
Tc -1.4039 3.4663 3.2559
Hg -0.7390 -0.4915 2.7218
Hg 1.5948 2.2260 0.8349
Hg -2.2597 1.7318 -0.3008
La 0.0000 0.0000 0.0000
CELL_PARAMETERS angstrom
-4.5194 3.4635 -0.6016
-1.4780 -0.9829 5.4436
3.1896 4.4520 1.6699
! formation energy from the elements: 36.2 kcal/mol of atoms
! symmetry: Pm-3m (221)
! volume: 188 Å³/cell
! crystal system: cubic



Record 4
! LaTc2Hg, relaxed, DFT PBEsol; values from VASP
&SYSTEM
  ibrav = 0, nat = 4, ntyp = 3
/
ATOMIC_SPECIES
Hg 200.59 Hg.upf
La 138.91 La.upf
Tc 98.00 Tc.upf
ATOMIC_POSITIONS angstrom
Hg -1.9749 0.1419 -0.1377
La -1.9899 3.3147 3.3472
Tc -0.0232 4.8991 5.3809
Tc -0.0069 1.4466 1.5888
CELL_PARAMETERS angstrom
-1.7772 1.6026 -1.4668
-2.1725 -1.3188 1.1914
-0.0301 6.3457 6.9697
! formation energy from the elements: 18.0 kcal/mol of atoms
! symmetry: P4/mmm (123)
! volume: 74 Å³/cell
! crystal system: tetragonal



Record 5
! LaTc2Hg, relaxed, DFT PBEsol; values from VASP
&SYSTEM
  ibrav = 0, nat = 4, ntyp = 3
/
ATOMIC_SPECIES
Hg 200.59 Hg.upf
La 138.91 La.upf
Tc 98.00 Tc.upf
ATOMIC_POSITIONS angstrom
Hg 0.9975 -2.1860 -0.7897
La 0.2975 -3.5319 2.0519
Tc -1.1454 -2.2025 4.6502
Tc -0.2544 -0.4893 1.0330
CELL_PARAMETERS angstrom
-1.2609 -2.8943 -1.6815
3.2558 -1.4777 0.1021
-1.3998 -2.6918 5.6832
! formation energy from the elements: 13.3 kcal/mol of atoms
! symmetry: P4/mmm (123)
! volume: 82 Å³/cell
! crystal system: tetragonal



Record 6
! LaTc2Hg, relaxed, DFT PBEsol; values from VASP
&SYSTEM
  ibrav = 0, nat = 4, ntyp = 3
/
ATOMIC_SPECIES
Hg 200.59 Hg.upf
La 138.91 La.upf
Tc 98.00 Tc.upf
ATOMIC_POSITIONS angstrom
Hg -0.6637 -5.6166 2.2627
La 0.0000 0.0000 0.0000
Tc -0.2823 -2.9412 1.2826
Tc -1.0451 -8.2920 3.2429
CELL_PARAMETERS angstrom
-2.5564 -1.3205 -0.3228
-0.2649 -2.2081 -1.8539
1.4940 -7.7046 6.7022
! formation energy from the elements: 18.9 kcal/mol of atoms
! symmetry: R-3m (166)
! volume: 74 Å³/cell
! crystal system: trigonal



Record 7
! LaYTcHg2, relaxed, DFT PBEsol; values from VASP
&SYSTEM
  ibrav = 0, nat = 5, ntyp = 4
/
ATOMIC_SPECIES
Tc 98.00 Tc.upf
Y 88.91 Y.upf
Hg 200.59 Hg.upf
La 138.91 La.upf
ATOMIC_POSITIONS angstrom
Tc 0.0000 0.0000 0.0000
Y -2.0237 1.1213 -0.6828
Hg -1.1888 -0.7879 2.2295
Hg -0.8133 -2.2069 -1.2135
La -4.0258 -1.8735 0.3331
CELL_PARAMETERS angstrom
-4.0474 2.2425 -1.3657
-1.6266 -4.4138 -2.4271
-2.3776 -1.5757 4.4589
! formation energy from the elements: 4.0 kcal/mol of atoms
! symmetry: P4/mmm (123)
! volume: 135 Å³/cell
! crystal system: tetragonal



Record 8
! LaHg2Te2, relaxed, DFT PBEsol; values from VASP
&SYSTEM
  ibrav = 0, nat = 5, ntyp = 3
/
ATOMIC_SPECIES
Te 127.60 Te.upf
Hg 200.59 Hg.upf
La 138.91 La.upf
ATOMIC_POSITIONS angstrom
Te 3.9229 -1.9578 5.1251
Te 3.2875 -0.2503 1.5487
Hg 1.7346 -2.2831 3.1063
Hg 5.4759 0.0750 3.5675
La 0.0000 0.0000 0.0000
CELL_PARAMETERS angstrom
-1.5208 -4.8955 2.4373
5.9397 1.2070 -0.4789
2.7916 1.4804 4.7154
! formation energy (no corrections): -490.9 meV/atom
! symmetry: I4/mmm (139)
! volume: 147 Å³/cell
! crystal system: tetragonal



Record 9
! LaHgTe, relaxed, DFT PBEsol; values from VASP
&SYSTEM
  ibrav = 0, nat = 3, ntyp = 3
/
ATOMIC_SPECIES
Hg 200.59 Hg.upf
La 138.91 La.upf
Te 127.60 Te.upf
ATOMIC_POSITIONS angstrom
Hg 0.0000 0.0000 0.0000
La -2.5904 1.0907 5.7464
Te -1.2952 0.5453 2.8732
CELL_PARAMETERS angstrom
-0.3698 3.4181 3.9320
-4.4841 0.4728 2.6363
-0.3270 -1.7096 4.9245
! formation energy (no corrections): -642.4 meV/atom
! symmetry: F-43m (216)
! volume: 101 Å³/cell
! crystal system: cubic



Record 10
! La2HgTe, relaxed, DFT PBEsol; values from VASP
&SYSTEM
  ibrav = 0, nat = 4, ntyp = 3
/
ATOMIC_SPECIES
Te 127.60 Te.upf
Hg 200.59 Hg.upf
La 138.91 La.upf
ATOMIC_POSITIONS angstrom
Te 0.0000 0.0000 0.0000
Hg 4.3679 2.5218 3.9065
La 6.5519 3.7827 5.8819
La 2.1840 1.2609 1.9311
CELL_PARAMETERS angstrom
4.3679 0.0000 0.0000
2.1840 3.7827 0.0000
2.1840 1.2609 7.8129
! formation energy (no corrections): -991.1 meV/atom
! symmetry: R-3m (166)
! volume: 129 Å³/cell
! crystal system: trigonal



Record 11
! La2HgTe, relaxed, DFT PBEsol; values from VASP
&SYSTEM
  ibrav = 0, nat = 4, ntyp = 3
/
ATOMIC_SPECIES
Te 127.60 Te.upf
Hg 200.59 Hg.upf
La 138.91 La.upf
ATOMIC_POSITIONS angstrom
Te 0.0000 0.0000 0.0000
Hg 2.2458 2.2458 3.2012
La 0.0000 0.0000 3.2012
La 2.2458 2.2458 0.0000
CELL_PARAMETERS angstrom
4.4916 0.0000 0.0000
0.0000 4.4916 0.0000
0.0000 0.0000 6.4024
! formation energy (no corrections): -993.0 meV/atom
! symmetry: P4/mmm (123)
! volume: 129 Å³/cell
! crystal system: tetragonal



Record 12
! LaHg2Te, relaxed, DFT PBEsol; values from VASP
&SYSTEM
  ibrav = 0, nat = 4, ntyp = 3
/
ATOMIC_SPECIES
Te 127.60 Te.upf
Hg 200.59 Hg.upf
La 138.91 La.upf
ATOMIC_POSITIONS angstrom
Te -2.3924 -0.9510 0.5647
Hg 0.0813 -1.2964 -1.8388
Hg -0.9413 1.6517 -1.2060
La -3.2524 -0.5957 -2.4801
CELL_PARAMETERS angstrom
-1.8825 3.3034 -2.4120
0.1625 -2.5927 -3.6777
-4.7849 -1.9021 1.1295
! formation energy (no corrections): -773.8 meV/atom
! symmetry: P4/mmm (123)
! volume: 107 Å³/cell
! crystal system: tetragonal



Record 13
! La2HgTe2, relaxed, DFT PBEsol; values from VASP
&SYSTEM
  ibrav = 0, nat = 5, ntyp = 3
/
ATOMIC_SPECIES
Te 127.60 Te.upf
Hg 200.59 Hg.upf
La 138.91 La.upf
ATOMIC_POSITIONS angstrom
Te 0.0000 2.7120 3.3601
Te 2.7120 0.0000 3.3601
Hg 0.0000 0.0000 0.0000
La 0.0000 0.0000 4.8613
La 2.7120 2.7120 1.8589
CELL_PARAMETERS angstrom
5.4240 0.0000 0.0000
0.0000 5.4240 0.0000
-2.7120 -2.7120 6.7203
! formation energy (no corrections): -704.0 meV/atom
! symmetry: I4/mmm (139)
! volume: 198 Å³/cell
! crystal system: tetragonal



Record 14
! La3TiHg, relaxed, DFT PBEsol; values from VASP
&SYSTEM
  ibrav = 0, nat = 5, ntyp = 3
/
ATOMIC_SPECIES
Ti 47.87 Ti.upf
Hg 200.59 Hg.upf
La 138.91 La.upf
ATOMIC_POSITIONS angstrom
Ti 2.9147 2.9147 2.9147
Hg 0.0000 0.0000 0.0000
La 0.0000 2.9147 0.0000
La 0.0000 0.0000 2.9147
La 2.9147 0.0000 0.0000
CELL_PARAMETERS angstrom
5.8294 0.0000 0.0000
0.0000 5.8294 0.0000
0.0000 0.0000 5.8294
! formation energy from the elements: 16.4 kcal/mol of atoms
! symmetry: Pm-3m (221)
! volume: 198 Å³/cell
! crystal system: cubic



Record 15
! LaTl2Hg, relaxed, DFT PBEsol; values from VASP
&SYSTEM
  ibrav = 0, nat = 4, ntyp = 3
/
ATOMIC_SPECIES
Tl 204.38 Tl.upf
Hg 200.59 Hg.upf
La 138.91 La.upf
ATOMIC_POSITIONS angstrom
Tl -1.5484 -1.7952 -0.0134
Tl 1.7850 -1.5376 -0.2651
Hg 0.0454 -3.1503 -2.6245
La -0.1912 0.1825 -2.3459
CELL_PARAMETERS angstrom
-0.3824 0.3650 -4.6919
3.5699 -3.0751 -0.5302
-3.0968 -3.5904 -0.0269
! formation energy from the elements: -9.6 kcal/mol of atoms
! symmetry: P4/mmm (123)
! volume: 106 Å³/cell
! crystal system: tetragonal